{
  "formula": "La4ScRe",
  "functional": "PBE",
  "state": "relaxed",
  "cell": [[4.916, 1.627, 3.469], [-0.481, 4.683, 4.084], [0.026, -1.186, 6.119]],
  "species": ["La", "La", "La", "La", "Sc", "Re"],
  "fractional_positions": [[0.870, 0.377, 0.377], [0.377, 0.377, 0.870], [0.377, 0.870, 0.377], [0.377, 0.377, 0.377], [0.000, 0.000, 0.000], [0.750, 0.750, 0.750]],
  "final_energy_ev_per_atom": -5.51
}